Density functional theory data (GGA-PBE) for a relaxed CrSbAs2 crystal.

Properties
DOS at the Fermi energy, states/eV/f.u.: 2.6
Total moment, μB/cell: 3.77
Energy, eV per atom: -5.387
Formation energy (no corrections), meV/atom: 374
Calculated volume, Å³/f.u.: 80.5

Cell and atoms, written as extended XYZ:
```
4
Lattice="-4.4529 -0.4459 -1.8799 -0.9311 -3.6430 3.0696 -1.1912 2.2352 2.2914" Properties=species:S:1:pos:R:3 pbc="T T T"
Sb -1.0612 -0.7039 2.6805
Cr -2.8220 0.8946 0.2057
As 0.0000 0.0000 0.0000
As -2.6920 -2.0445 0.5948
```